[1]
{
  "formula": "Tb3Ho2In",
  "functional": "GGA-PBE",
  "state": "relaxed",
  "lattice": [[2.438, -7.526, 0.000], [2.438, 7.526, 0.000], [0.000, 0.000, 4.858]],
  "species": ["Tb", "Tb", "Tb", "Ho", "Ho", "In"],
  "fractional_positions": [[0.000, 0.000, 0.000], [0.332, 0.668, 0.000], [0.668, 0.332, 0.000], [0.162, 0.838, 0.500], [0.838, 0.162, 0.500], [0.500, 0.500, 0.500]],
  "crystal_system": "orthorhombic",
  "vol_a3_per_atom": 29.71,
  "final_energy_ev_per_cell": -26.75,
  "ef_ev_per_atom": -0.16,
  "relative_energy_ev_per_atom": 0.000
}

[2]
{
  "formula": "DyPaRu3",
  "functional": "GGA-PBE",
  "state": "relaxed",
  "lattice": [[-2.919, 3.762, 4.430], [2.919, -3.762, 4.430], [2.919, 3.762, -4.430]],
  "species": ["Dy", "Dy", "Pa", "Pa", "Ru", "Ru", "Ru", "Ru", "Ru", "Ru"],
  "fractional_positions": [[0.259, 0.009, 0.250], [0.741, 0.991, 0.750], [0.000, 0.500, 0.500], [0.500, 0.500, 0.000], [0.054, 0.304, 0.750], [0.312, 0.000, 0.812], [0.312, 0.500, 0.312], [0.688, 0.000, 0.188], [0.688, 0.500, 0.688], [0.946, 0.696, 0.250]],
  "crystal_system": "orthorhombic",
  "vol_a3_per_atom": 19.46,
  "final_energy_ev_per_cell": -86.92,
  "ef_ev_per_atom": -0.31
}

[3]
{
  "formula": "SrIn2Rh",
  "functional": "GGA-PBE",
  "state": "relaxed",
  "lattice": [[-2.170, 2.645, 4.333], [2.170, -2.645, 4.333], [2.170, 2.645, -4.333]],
  "species": ["Sr", "In", "In", "Rh"],
  "fractional_positions": [[0.000, 0.000, 0.000], [0.452, 0.452, 0.000], [0.717, 0.217, 0.500], [0.264, 0.764, 0.500]],
  "crystal_system": "orthorhombic",
  "vol_a3_per_atom": 24.87,
  "final_energy_ev_per_cell": -15.02,
  "ef_ev_per_atom": -0.13
}

[4]
{
  "formula": "Ce3AlRu",
  "functional": "GGA-PBE",
  "state": "relaxed",
  "lattice": [[7.021, 0.000, 0.000], [-3.511, 6.081, 0.000], [0.000, 0.000, 5.676]],
  "species": ["Ce", "Ce", "Ce", "Ce", "Ce", "Ce", "Al", "Al", "Ru", "Ru"],
  "fractional_positions": [[0.195, 0.389, 0.250], [0.195, 0.805, 0.250], [0.389, 0.195, 0.750], [0.611, 0.805, 0.250], [0.805, 0.195, 0.750], [0.805, 0.611, 0.750], [0.333, 0.667, 0.750], [0.667, 0.333, 0.250], [0.000, 0.000, 0.000], [0.000, 0.000, 0.500]],
  "crystal_system": "hexagonal",
  "vol_a3_per_atom": 24.23,
  "final_energy_ev_per_cell": -64.62,
  "ef_ev_per_atom": -0.30
}

[5]
{
  "formula": "Ta3TiTe",
  "functional": "GGA-PBE",
  "state": "relaxed",
  "lattice": [[4.784, 0.000, 0.000], [0.000, 4.784, 0.000], [0.000, 0.000, 4.784]],
  "species": ["Ta", "Ta", "Ta", "Ti", "Te"],
  "fractional_positions": [[0.000, 0.000, 0.500], [0.000, 0.500, 0.000], [0.500, 0.000, 0.000], [0.000, 0.000, 0.000], [0.500, 0.500, 0.500]],
  "crystal_system": "cubic",
  "vol_a3_per_atom": 21.90,
  "final_energy_ev_per_cell": -39.94,
  "relative_energy_ev_per_atom": 0.000,
  "raw_formation_energy_ev_per_atom": 1.331
}

[6]
{
  "formula": "YCdHg2",
  "functional": "GGA-PBE",
  "state": "relaxed",
  "lattice": [[3.238, -1.913, 0.000], [3.238, 1.913, 0.000], [-2.059, 0.000, 8.583]],
  "species": ["Y", "Cd", "Hg", "Hg"],
  "fractional_positions": [[0.000, 0.000, 0.000], [0.161, 0.161, 0.501], [0.419, 0.419, 0.256], [0.580, 0.580, 0.744]],
  "crystal_system": "monoclinic",
  "vol_a3_per_atom": 26.58,
  "final_energy_ev_per_cell": -8.79,
  "ef_ev_per_atom": -0.20
}

[7]
{
  "formula": "Fe2AgBr6",
  "functional": "GGA-PBE",
  "state": "relaxed",
  "lattice": [[7.106, -7.166, 0.000], [7.106, 7.166, 0.000], [-2.567, 0.000, 6.177]],
  "species": ["Fe", "Fe", "Fe", "Fe", "Ag", "Ag", "Br", "Br", "Br", "Br", "Br", "Br", "Br", "Br", "Br", "Br", "Br", "Br"],
  "fractional_positions": [[0.136, 0.296, 0.307], [0.296, 0.136, 0.807], [0.704, 0.864, 0.193], [0.864, 0.704, 0.693], [0.292, 0.708, 0.750], [0.708, 0.292, 0.250], [0.081, 0.671, 0.910], [0.093, 0.232, 0.616], [0.232, 0.093, 0.116], [0.300, 0.486, 0.412], [0.329, 0.919, 0.590], [0.486, 0.300, 0.912], [0.514, 0.700, 0.088], [0.671, 0.081, 0.410], [0.700, 0.514, 0.588], [0.768, 0.907, 0.884], [0.907, 0.768, 0.384], [0.919, 0.329, 0.090]],
  "crystal_system": "monoclinic",
  "vol_a3_per_atom": 34.95,
  "final_energy_ev_per_cell": -67.37,
  "raw_formation_energy_ev_per_atom": -0.430
}

[8]
{
  "formula": "Tm3ThMg",
  "functional": "GGA-PBE",
  "state": "relaxed",
  "lattice": [[9.357, 0.000, 0.000], [0.000, 5.892, 0.000], [-3.646, 0.000, 10.717]],
  "species": ["Tm", "Tm", "Tm", "Tm", "Tm", "Tm", "Tm", "Tm", "Tm", "Tm", "Tm", "Tm", "Th", "Th", "Th", "Th", "Mg", "Mg", "Mg", "Mg"],
  "fractional_positions": [[0.098, 0.136, 0.274], [0.098, 0.364, 0.774], [0.292, 0.188, 0.068], [0.292, 0.312, 0.568], [0.299, 0.660, 0.326], [0.299, 0.840, 0.826], [0.701, 0.160, 0.174], [0.701, 0.340, 0.674], [0.708, 0.688, 0.432], [0.708, 0.812, 0.932], [0.902, 0.636, 0.226], [0.902, 0.864, 0.726], [0.498, 0.168, 0.376], [0.498, 0.332, 0.876], [0.502, 0.668, 0.124], [0.502, 0.832, 0.624], [0.100, 0.716, 0.024], [0.100, 0.784, 0.524], [0.900, 0.216, 0.476], [0.900, 0.284, 0.976]],
  "crystal_system": "monoclinic",
  "vol_a3_per_atom": 29.54,
  "final_energy_ev_per_cell": -88.15,
  "ef_ev_per_atom": 0.08
}

[9]
{
  "formula": "YAl3Au3",
  "functional": "GGA-PBE",
  "state": "relaxed",
  "lattice": [[6.979, 0.000, 0.000], [0.000, 4.464, 0.000], [-2.649, 0.000, 8.572]],
  "species": ["Y", "Y", "Al", "Al", "Al", "Al", "Al", "Al", "Au", "Au", "Au", "Au", "Au", "Au"],
  "fractional_positions": [[0.155, 0.250, 0.297], [0.845, 0.750, 0.703], [0.105, 0.250, 0.923], [0.489, 0.250, 0.663], [0.491, 0.750, 0.873], [0.509, 0.250, 0.127], [0.511, 0.750, 0.337], [0.895, 0.750, 0.077], [0.092, 0.250, 0.633], [0.267, 0.750, 0.055], [0.330, 0.750, 0.559], [0.670, 0.250, 0.441], [0.733, 0.250, 0.945], [0.908, 0.750, 0.367]],
  "crystal_system": "monoclinic",
  "vol_a3_per_atom": 19.08,
  "final_energy_ev_per_cell": -63.45,
  "ef_ev_per_atom": -0.60,
  "relative_energy_ev_per_atom": 0.000
}

[10]
{
  "formula": "Tb3Tl2In",
  "functional": "GGA-PBE",
  "state": "relaxed",
  "lattice": [[3.702, 0.000, 0.000], [0.000, 3.702, 0.000], [0.000, 0.000, 11.983]],
  "species": ["Tb", "Tb", "Tb", "Tl", "Tl", "In"],
  "fractional_positions": [[0.000, 0.000, 0.000], [0.000, 0.000, 0.336], [0.000, 0.000, 0.664], [0.500, 0.500, 0.167], [0.500, 0.500, 0.833], [0.500, 0.500, 0.500]],
  "crystal_system": "tetragonal",
  "vol_a3_per_atom": 27.37,
  "final_energy_ev_per_cell": -23.74,
  "ef_ev_per_atom": -0.40
}

[11]
{
  "formula": "BaCd3Ir",
  "functional": "GGA-PBE",
  "state": "relaxed",
  "lattice": [[5.273, 0.000, 0.000], [0.000, 5.273, 0.000], [0.000, 0.000, 5.273]],
  "species": ["Ba", "Cd", "Cd", "Cd", "Ir"],
  "fractional_positions": [[0.000, 0.000, 0.000], [0.000, 0.500, 0.500], [0.500, 0.000, 0.500], [0.500, 0.500, 0.000], [0.500, 0.500, 0.500]],
  "crystal_system": "cubic",
  "vol_a3_per_atom": 29.33,
  "final_energy_ev_per_cell": -14.35,
  "ef_ev_per_atom": -0.16,
  "relative_energy_ev_per_atom": 0.000
}

[12]
{
  "formula": "Ac2DyC",
  "functional": "GGA-PBE",
  "state": "relaxed",
  "lattice": [[2.017, 1.165, 10.582], [-2.017, 1.165, 10.582], [0.000, -2.329, 10.582]],
  "species": ["Ac", "Ac", "Dy", "C"],
  "fractional_positions": [[0.074, 0.074, 0.074], [0.926, 0.926, 0.926], [0.500, 0.500, 0.500], [0.000, 0.000, 0.000]],
  "crystal_system": "trigonal",
  "vol_a3_per_atom": 37.29,
  "final_energy_ev_per_cell": -17.70,
  "ef_ev_per_atom": 1.08
}

| no. | density of states at the Fermi level (states/eV/cell) |
| --- | --- |
| 1 | 6.983 |
| 2 | 9.753 |
| 3 | 2.242 |
| 4 | 20.970 |
| 5 | 6.290 |
| 6 | 1.756 |
| 7 | 11.264 |
| 8 | 26.066 |
| 9 | 4.838 |
| 10 | 4.122 |
| 11 | 3.068 |
| 12 | 4.670 |